Computed, not measured: an optimized crystal structure of PrNdCuNi at the PBE level of DFT.

As for the energy of formation from the pure elements: -0.66 eV/f.u. Its relative energy among the computed polymorphs is 68 meV/atom.

It has space group F-43m (No. 216), with a = 7.117 Å, b = 7.117 Å, c = 7.117 Å, α = 90.00°, β = 90.00° and γ = 90.00°. The asymmetric unit holds Pr at (0.000, 0.000, 0.000), Nd at (0.000, 0.000, 0.500), Cu at (0.250, 0.250, 0.750) and Ni at (0.250, 0.250, 0.250).

Computed, not measured: an optimized crystal structure of La2Al9Cu3 at the PBE level of DFT.

As for the energy of formation from the pure elements: -4.21 eV/f.u.

It has space group C2/c (No. 15), with a = 13.268 Å, b = 7.599 Å, c = 11.059 Å, α = 90.00°, β = 114.38° and γ = 90.00°. The asymmetric unit holds La at (0.167, 0.084, 0.249), Al at (0.000, 0.378, 0.250), Al at (0.062, 0.088, 0.935), Al at (0.099, 0.418, 0.053), Al at (0.100, 0.316, 0.748), Al at (0.226, 0.419, 0.437), Cu at (0.085, 0.245, 0.502) and Cu at (0.250, 0.250, 0.000).

Computed, not measured: an optimized crystal structure of AcPaZnIr at the PBE level of DFT.

As for the energy of formation from the pure elements: -0.59 eV/f.u.

It has space group F-43m (No. 216), with a = 7.266 Å, b = 7.266 Å, c = 7.266 Å, α = 90.00°, β = 90.00° and γ = 90.00°. The asymmetric unit holds Ac at (0.000, 0.000, 0.000), Pa at (0.000, 0.000, 0.500), Zn at (0.250, 0.250, 0.750) and Ir at (0.250, 0.250, 0.250).

Computed, not measured: an optimized crystal structure of CaSmHoEr at the PBE level of DFT.

As for the energy of formation from the pure elements: 0.61 eV/f.u.

It has space group F-43m (No. 216), with a = 8.127 Å, b = 8.127 Å, c = 8.127 Å, α = 90.00°, β = 90.00° and γ = 90.00°. The asymmetric unit holds Ca at (0.000, 0.000, 0.000), Sm at (0.250, 0.250, 0.750), Ho at (0.250, 0.250, 0.250) and Er at (0.000, 0.000, 0.500).

Computed, not measured: an optimized crystal structure of AgIrBr2 at the PBE level of DFT.

Its relative energy among the computed polymorphs is 346 meV/atom. The formation energy (no corrections) comes out at 0.52 eV/atom.

It has space group R-3m (No. 166, hexagonal axes), with a = 3.7503 Å, b = 3.7503 Å, c = 22.7138 Å, α = 90.00°, β = 90.00° and γ = 120.00°. The asymmetric unit holds Ag at (0.0000, 0.0000, 0.0000), Ir at (0.0000, 0.0000, 0.5000) and Br at (0.0000, 0.0000, 0.2290).

Computed, not measured: an optimized crystal structure of AcCeTlSi at the PBE level of DFT.

The formation energy (no corrections) comes out at -0.23 eV/atom.

It has space group F-43m (No. 216), with a = 7.757 Å, b = 7.757 Å, c = 7.757 Å, α = 90.00°, β = 90.00° and γ = 90.00°. The asymmetric unit holds Ac at (0.000, 0.000, 0.000), Ce at (0.000, 0.000, 0.500), Tl at (0.250, 0.250, 0.250) and Si at (0.250, 0.250, 0.750).

no.,DOS at the Fermi energy (states/eV/cell),magnetization (Bohr magnetons per cell)
1,14.27,0.00
2,23.79,0.00
3,26.34,2.27
4,27.33,0.00
5,6.54,0.00
6,34.21,4.92